! Pm2Sm5Th, relaxed, DFT PBE; values from VASP
&SYSTEM
  ibrav = 0, nat = 16, ntyp = 3
/
ATOMIC_SPECIES
Pm 145.00 Pm.upf
Sm 150.36 Sm.upf
Th 232.04 Th.upf
ATOMIC_POSITIONS crystal
Pm 0.244 0.122 0.000
Pm 0.256 0.622 0.000
Pm 0.744 0.378 0.000
Pm 0.756 0.878 0.000
Sm 0.000 0.500 0.500
Sm 0.001 0.248 0.500
Sm 0.243 0.878 0.000
Sm 0.257 0.378 0.000
Sm 0.499 0.748 0.500
Sm 0.500 0.000 0.500
Sm 0.501 0.252 0.500
Sm 0.743 0.622 0.000
Sm 0.757 0.122 0.000
Sm 0.999 0.752 0.500
Th 0.000 0.000 0.500
Th 0.500 0.500 0.500
CELL_PARAMETERS angstrom
7.244 0.000 0.000
0.000 14.504 0.000
0.000 0.000 5.151
! * DFT formation energy: 31 meV per atom
! * space group: Pbam (55)
! * density: 7.82 g/cm³
! * crystal system: orthorhombic